Compound: CrAg2O
Source: Alexandria
Functional: GGA+U
Structure: relaxed

Spin magnetization: 15.8 Bohr magnetons per cell
DFT total energy: -4.67 eV per atom
Fermi-level density of states: 0.184 states/eV/atom

a = 8.556 Å, b = 8.556 Å, c = 3.920 Å
α = 90.00°, β = 90.00°, γ = 90.00°
Space group I-42d (No. 122)
Symmetry-distinct sites (fractional):
Cr 0.000 0.000 0.000
Ag 0.137 0.250 0.625
O 0.000 0.000 0.500